This record from Alexandria describes a relaxed structure of Mg3SnF. The functional is PBE-GGA.

Lattice parameters (Å, degrees): 5.446 5.446 5.446 90.00 90.00 90.00
Sites, in units of the cell vectors:
1 Mg 0.000 0.000 0.500
2 Mg 0.000 0.500 0.000
3 Mg 0.500 0.000 0.000
4 Sn 0.000 0.000 0.000
5 F 0.500 0.500 0.500

- M_tot: 0.00 μB per atom
- ρ: 2.17 g/cm3
- Uncorrected formation energy: -0.160 eV per atom
- Crystal system: cubic

***

This record from Alexandria describes a relaxed structure of BaMnW2. The functional is PBE-GGA.

Lattice parameters (Å, degrees): 6.316 6.316 6.316 154.25 132.46 54.85
Sites, in units of the cell vectors:
1 Ba 0.000 0.000 0.000
2 Mn 0.500 0.500 0.000
3 W 0.291 0.791 0.500
4 W 0.709 0.209 0.500

- M_tot: 0.65 μB per atom
- ρ: 11.57 g/cm3
- Energy relative to the elements: 1.22 eV/atom
- Crystal system: orthorhombic